[1]
GdHoZnCr: optimized geometry, PBE.

Unit cell a=7.1464 b=7.1464 c=7.1464 alpha=90.00 beta=90.00 gamma=90.00
With the nearest neighbours (Å) after each atom.
Sites, in units of the cell vectors:
Gd1 0.0000 0.0000 0.0000  4 Cr 3.09, 4 Zn 3.09
Gd2 0.0000 0.5000 0.5000  4 Cr 3.09, 4 Zn 3.09
Gd3 0.5000 0.0000 0.5000  4 Cr 3.09, 4 Zn 3.09
Gd4 0.5000 0.5000 0.0000  4 Cr 3.09, 4 Zn 3.09
Ho1 0.0000 0.0000 0.5000  4 Cr 3.09, 4 Zn 3.09
Ho2 0.0000 0.5000 0.0000  4 Cr 3.09, 4 Zn 3.09
Ho3 0.5000 0.0000 0.0000  4 Cr 3.09, 4 Zn 3.09
Ho4 0.5000 0.5000 0.5000  4 Cr 3.09, 4 Zn 3.09
Zn1 0.2500 0.2500 0.7500  4 Gd 3.09, 4 Ho 3.09
Zn2 0.2500 0.7500 0.2500  4 Gd 3.09, 4 Ho 3.09
Zn3 0.7500 0.2500 0.2500  4 Gd 3.09, 4 Ho 3.09
Zn4 0.7500 0.7500 0.7500  4 Gd 3.09, 4 Ho 3.09
Cr1 0.2500 0.2500 0.2500  4 Gd 3.09, 4 Ho 3.09
Cr2 0.2500 0.7500 0.7500  4 Gd 3.09, 4 Ho 3.09
Cr3 0.7500 0.2500 0.7500  4 Gd 3.09, 4 Ho 3.09
Cr4 0.7500 0.7500 0.2500  4 Gd 3.09, 4 Ho 3.09

Calculated volume (Å³/cell): 365.0
Mass density (g/cm3): 8.00
Symmetry: F-43m (216)
Energy of formation (meV/atom): 4

***

[2]
LiPmGdCr: optimized geometry, PBE.

Unit cell a=7.3046 b=7.3046 c=7.3046 alpha=90.00 beta=90.00 gamma=90.00
With the nearest neighbours (Å) after each atom.
Sites, in units of the cell vectors:
Li1 0.0000 0.0000 0.0000  4 Gd 3.16, 4 Pm 3.16
Li2 0.0000 0.5000 0.5000  4 Gd 3.16, 4 Pm 3.16
Li3 0.5000 0.0000 0.5000  4 Gd 3.16, 4 Pm 3.16
Li4 0.5000 0.5000 0.0000  4 Gd 3.16, 4 Pm 3.16
Pm1 0.2500 0.2500 0.7500  4 Cr 3.16, 4 Li 3.16
Pm2 0.2500 0.7500 0.2500  4 Cr 3.16, 4 Li 3.16
Pm3 0.7500 0.2500 0.2500  4 Cr 3.16, 4 Li 3.16
Pm4 0.7500 0.7500 0.7500  4 Cr 3.16, 4 Li 3.16
Gd1 0.2500 0.2500 0.2500  4 Cr 3.16, 4 Li 3.16
Gd2 0.2500 0.7500 0.7500  4 Cr 3.16, 4 Li 3.16
Gd3 0.7500 0.2500 0.7500  4 Cr 3.16, 4 Li 3.16
Gd4 0.7500 0.7500 0.2500  4 Cr 3.16, 4 Li 3.16
Cr1 0.0000 0.0000 0.5000  4 Gd 3.16, 4 Pm 3.16
Cr2 0.0000 0.5000 0.0000  4 Gd 3.16, 4 Pm 3.16
Cr3 0.5000 0.0000 0.0000  4 Gd 3.16, 4 Pm 3.16
Cr4 0.5000 0.5000 0.5000  4 Gd 3.16, 4 Pm 3.16

Calculated volume (Å³/cell): 389.8
Mass density (g/cm3): 6.16
Symmetry: F-43m (216)
Energy of formation (meV/atom): 223

***

[3]
LiSmGdCr: optimized geometry, PBE.

Unit cell a=7.2841 b=7.2841 c=7.2841 alpha=90.00 beta=90.00 gamma=90.00
With the nearest neighbours (Å) after each atom.
Sites, in units of the cell vectors:
Li1 0.0000 0.0000 0.0000  4 Sm 3.15, 4 Gd 3.15
Li2 0.0000 0.5000 0.5000  4 Sm 3.15, 4 Gd 3.15
Li3 0.5000 0.0000 0.5000  4 Sm 3.15, 4 Gd 3.15
Li4 0.5000 0.5000 0.0000  4 Sm 3.15, 4 Gd 3.15
Sm1 0.2500 0.2500 0.7500  4 Cr 3.15, 4 Li 3.15
Sm2 0.2500 0.7500 0.2500  4 Cr 3.15, 4 Li 3.15
Sm3 0.7500 0.2500 0.2500  4 Cr 3.15, 4 Li 3.15
Sm4 0.7500 0.7500 0.7500  4 Cr 3.15, 4 Li 3.15
Gd1 0.2500 0.2500 0.2500  4 Cr 3.15, 4 Li 3.15
Gd2 0.2500 0.7500 0.7500  4 Cr 3.15, 4 Li 3.15
Gd3 0.7500 0.2500 0.7500  4 Cr 3.15, 4 Li 3.15
Gd4 0.7500 0.7500 0.2500  4 Cr 3.15, 4 Li 3.15
Cr1 0.0000 0.0000 0.5000  4 Gd 3.15, 4 Sm 3.15
Cr2 0.0000 0.5000 0.0000  4 Gd 3.15, 4 Sm 3.15
Cr3 0.5000 0.0000 0.0000  4 Gd 3.15, 4 Sm 3.15
Cr4 0.5000 0.5000 0.5000  4 Gd 3.15, 4 Sm 3.15

Calculated volume (Å³/cell): 386.5
Mass density (g/cm3): 6.30
Symmetry: F-43m (216)
Energy of formation (meV/atom): 219

***

[4]
LiTbGdCr: optimized geometry, PBE.

Unit cell a=7.2198 b=7.2198 c=7.2198 alpha=90.00 beta=90.00 gamma=90.00
With the nearest neighbours (Å) after each atom.
Sites, in units of the cell vectors:
Li1 0.0000 0.0000 0.0000  4 Gd 3.13, 4 Tb 3.13
Li2 0.0000 0.5000 0.5000  4 Gd 3.13, 4 Tb 3.13
Li3 0.5000 0.0000 0.5000  4 Gd 3.13, 4 Tb 3.13
Li4 0.5000 0.5000 0.0000  4 Gd 3.13, 4 Tb 3.13
Tb1 0.2500 0.2500 0.2500  4 Li 3.13, 4 Cr 3.13
Tb2 0.2500 0.7500 0.7500  4 Li 3.13, 4 Cr 3.13
Tb3 0.7500 0.2500 0.7500  4 Li 3.13, 4 Cr 3.13
Tb4 0.7500 0.7500 0.2500  4 Li 3.13, 4 Cr 3.13
Gd1 0.2500 0.2500 0.7500  4 Cr 3.13, 4 Li 3.13
Gd2 0.2500 0.7500 0.2500  4 Cr 3.13, 4 Li 3.13
Gd3 0.7500 0.2500 0.2500  4 Cr 3.13, 4 Li 3.13
Gd4 0.7500 0.7500 0.7500  4 Cr 3.13, 4 Li 3.13
Cr1 0.0000 0.0000 0.5000  4 Tb 3.13, 4 Gd 3.13
Cr2 0.0000 0.5000 0.0000  4 Tb 3.13, 4 Gd 3.13
Cr3 0.5000 0.0000 0.0000  4 Tb 3.13, 4 Gd 3.13
Cr4 0.5000 0.5000 0.5000  4 Tb 3.13, 4 Gd 3.13

Calculated volume (Å³/cell): 376.3
Mass density (g/cm3): 6.62
Symmetry: F-43m (216)
Energy of formation (meV/atom): 204

***

[5]
LiGdTmCr: optimized geometry, PBE.

Unit cell a=7.1557 b=7.1557 c=7.1557 alpha=90.00 beta=90.00 gamma=90.00
With the nearest neighbours (Å) after each atom.
Sites, in units of the cell vectors:
Li1 0.0000 0.0000 0.0000  4 Gd 3.10, 4 Tm 3.10
Li2 0.0000 0.5000 0.5000  4 Gd 3.10, 4 Tm 3.10
Li3 0.5000 0.0000 0.5000  4 Gd 3.10, 4 Tm 3.10
Li4 0.5000 0.5000 0.0000  4 Gd 3.10, 4 Tm 3.10
Gd1 0.2500 0.2500 0.7500  4 Cr 3.10, 4 Li 3.10
Gd2 0.2500 0.7500 0.2500  4 Cr 3.10, 4 Li 3.10
Gd3 0.7500 0.2500 0.2500  4 Cr 3.10, 4 Li 3.10
Gd4 0.7500 0.7500 0.7500  4 Cr 3.10, 4 Li 3.10
Tm1 0.2500 0.2500 0.2500  4 Cr 3.10, 4 Li 3.10
Tm2 0.2500 0.7500 0.7500  4 Cr 3.10, 4 Li 3.10
Tm3 0.7500 0.2500 0.7500  4 Cr 3.10, 4 Li 3.10
Tm4 0.7500 0.7500 0.2500  4 Cr 3.10, 4 Li 3.10
Cr1 0.0000 0.0000 0.5000  4 Tm 3.10, 4 Gd 3.10
Cr2 0.0000 0.5000 0.0000  4 Tm 3.10, 4 Gd 3.10
Cr3 0.5000 0.0000 0.0000  4 Tm 3.10, 4 Gd 3.10
Cr4 0.5000 0.5000 0.5000  4 Tm 3.10, 4 Gd 3.10

Calculated volume (Å³/cell): 366.4
Mass density (g/cm3): 6.98
Symmetry: F-43m (216)
Energy of formation (meV/atom): 162

***

[6]
GdMgScCr: optimized geometry, PBE.

Unit cell a=7.1653 b=7.1653 c=7.1653 alpha=90.00 beta=90.00 gamma=90.00
With the nearest neighbours (Å) after each atom.
Sites, in units of the cell vectors:
Gd1 0.0000 0.0000 0.0000  4 Cr 3.10, 4 Mg 3.10
Gd2 0.0000 0.5000 0.5000  4 Cr 3.10, 4 Mg 3.10
Gd3 0.5000 0.0000 0.5000  4 Cr 3.10, 4 Mg 3.10
Gd4 0.5000 0.5000 0.0000  4 Cr 3.10, 4 Mg 3.10
Mg1 0.2500 0.2500 0.7500  4 Gd 3.10, 4 Sc 3.10
Mg2 0.2500 0.7500 0.2500  4 Gd 3.10, 4 Sc 3.10
Mg3 0.7500 0.2500 0.2500  4 Gd 3.10, 4 Sc 3.10
Mg4 0.7500 0.7500 0.7500  4 Gd 3.10, 4 Sc 3.10
Sc1 0.0000 0.0000 0.5000  4 Mg 3.10, 4 Cr 3.10
Sc2 0.0000 0.5000 0.0000  4 Mg 3.10, 4 Cr 3.10
Sc3 0.5000 0.0000 0.0000  4 Mg 3.10, 4 Cr 3.10
Sc4 0.5000 0.5000 0.5000  4 Mg 3.10, 4 Cr 3.10
Cr1 0.2500 0.2500 0.2500  4 Gd 3.10, 4 Sc 3.10
Cr2 0.2500 0.7500 0.7500  4 Gd 3.10, 4 Sc 3.10
Cr3 0.7500 0.2500 0.7500  4 Gd 3.10, 4 Sc 3.10
Cr4 0.7500 0.7500 0.2500  4 Gd 3.10, 4 Sc 3.10

Calculated volume (Å³/cell): 367.9
Mass density (g/cm3): 5.03
Symmetry: F-43m (216)
Energy of formation (meV/atom): 148

***

[7]
GdCrN2: optimized geometry, PBE.

Unit cell a=3.2626 b=3.2626 c=15.3843 alpha=90.00 beta=90.00 gamma=120.00
With the nearest neighbours (Å) after each atom.
Sites, in units of the cell vectors:
Gd1 0.0000 0.0000 0.0000  6 N 2.40
Gd2 0.3333 0.6667 0.6667  6 N 2.40
Gd3 0.6667 0.3333 0.3333  6 N 2.40
Cr1 0.0000 0.0000 0.5000  6 N 2.17
Cr2 0.3333 0.6667 0.1667  6 N 2.17
Cr3 0.6667 0.3333 0.8333  6 N 2.17
N1 0.0000 0.0000 0.2363  3 Cr 2.17, 3 Gd 2.40
N2 0.0000 0.0000 0.7637  3 Cr 2.17, 3 Gd 2.40
N3 0.3333 0.6667 0.4304  3 Cr 2.17, 3 Gd 2.40
N4 0.3333 0.6667 0.9030  3 Cr 2.17, 3 Gd 2.40
N5 0.6667 0.3333 0.0970  3 Cr 2.17, 3 Gd 2.40
N6 0.6667 0.3333 0.5696  3 Cr 2.17, 3 Gd 2.40

Calculated volume (Å³/cell): 141.8
Uncorrected formation energy (eV/atom): -0.88
Mass density (g/cm3): 8.33
Symmetry: R-3m (166)

***

[8]
Gd3Cr5N12: optimized geometry, PBE.

Unit cell a=10.6858 b=10.6858 c=10.6858 alpha=109.47 beta=109.47 gamma=109.47
With the nearest neighbours (Å) after each atom.
Sites, in units of the cell vectors:
Gd1 0.1250 0.2500 0.3750  8 N 2.42-2.57
Gd2 0.1250 0.3750 0.7500  8 N 2.42-2.57
Gd3 0.2500 0.3750 0.1250  8 N 2.42-2.57
Gd4 0.2500 0.8750 0.6250  8 N 2.42-2.57
Gd5 0.3750 0.1250 0.2500  8 N 2.42-2.57
Gd6 0.3750 0.7500 0.1250  8 N 2.42-2.57
Gd7 0.6250 0.2500 0.8750  8 N 2.42-2.57
Gd8 0.6250 0.8750 0.7500  8 N 2.42-2.57
Gd9 0.7500 0.1250 0.3750  8 N 2.42-2.57
Gd10 0.7500 0.6250 0.8750  8 N 2.42-2.57
Gd11 0.8750 0.6250 0.2500  8 N 2.42-2.57
Gd12 0.8750 0.7500 0.6250  8 N 2.42-2.57
Cr1 0.0000 0.0000 0.0000  6 N 1.98
Cr2 0.0000 0.0000 0.5000  6 N 1.98
Cr3 0.0000 0.5000 0.0000  6 N 1.98
Cr4 0.0000 0.5000 0.5000  6 N 1.98
Cr5 0.1250 0.7500 0.8750  4 N 1.75
Cr6 0.1250 0.8750 0.2500  4 N 1.75
Cr7 0.2500 0.1250 0.8750  4 N 1.75
Cr8 0.2500 0.6250 0.3750  4 N 1.75
Cr9 0.3750 0.2500 0.6250  4 N 1.75
Cr10 0.3750 0.6250 0.7500  4 N 1.75
Cr11 0.5000 0.0000 0.0000  6 N 1.98
Cr12 0.5000 0.0000 0.5000  6 N 1.98
Cr13 0.5000 0.5000 0.0000  6 N 1.98
Cr14 0.5000 0.5000 0.5000  6 N 1.98
Cr15 0.6250 0.3750 0.2500  4 N 1.75
Cr16 0.6250 0.7500 0.3750  4 N 1.75
Cr17 0.7500 0.3750 0.6250  4 N 1.75
Cr18 0.7500 0.8750 0.1250  4 N 1.75
Cr19 0.8750 0.1250 0.7500  4 N 1.75
Cr20 0.8750 0.2500 0.1250  4 N 1.75
N1 0.0095 0.1953 0.1125  1 Cr 1.75
N2 0.0095 0.3142 0.8970  1 Cr 1.75
N3 0.0827 0.6953 0.6858  1 Cr 1.75
N4 0.0827 0.8875 0.3970  1 Cr 1.75
N5 0.1030 0.6125 0.4173  1 Cr 1.75
N6 0.1030 0.9905 0.6858  1 Cr 1.75
N7 0.1125 0.0095 0.1953  1 Cr 1.75
N8 0.1125 0.6030 0.9173  1 Cr 1.75
N9 0.1858 0.1953 0.5827  1 Cr 1.75
N10 0.1858 0.4905 0.6030  1 Cr 1.75
N11 0.1953 0.1125 0.0095  1 Cr 1.75
N12 0.1953 0.5827 0.1858  1 Cr 1.75
N13 0.3047 0.3142 0.9173  1 Cr 1.75
N14 0.3047 0.4905 0.3875  1 Cr 1.75
N15 0.3142 0.8970 0.0095  1 Cr 1.75
N16 0.3142 0.9173 0.3047  1 Cr 1.75
N17 0.3875 0.3047 0.4905  1 Cr 1.75
N18 0.3875 0.5827 0.8970  1 Cr 1.75
N19 0.3970 0.0827 0.8875  1 Cr 1.75
N20 0.3970 0.8142 0.5095  1 Cr 1.75
N21 0.4173 0.1030 0.6125  1 Cr 1.75
N22 0.4173 0.8142 0.8047  1 Cr 1.75
N23 0.4905 0.3875 0.3047  1 Cr 1.75
N24 0.4905 0.6030 0.1858  1 Cr 1.75
N25 0.5095 0.3970 0.8142  1 Cr 1.75
N26 0.5095 0.6125 0.6953  1 Cr 1.75
N27 0.5827 0.1858 0.1953  1 Cr 1.75
N28 0.5827 0.8970 0.3875  1 Cr 1.75
N29 0.6030 0.1858 0.4905  1 Cr 1.75
N30 0.6030 0.9173 0.1125  1 Cr 1.75
N31 0.6125 0.4173 0.1030  1 Cr 1.75
N32 0.6125 0.6953 0.5095  1 Cr 1.75
N33 0.6858 0.0827 0.6953  1 Cr 1.75
N34 0.6858 0.1030 0.9905  1 Cr 1.75
N35 0.6953 0.5095 0.6125  1 Cr 1.75
N36 0.6953 0.6858 0.0827  1 Cr 1.75
N37 0.8047 0.4173 0.8142  1 Cr 1.75
N38 0.8047 0.8875 0.9905  1 Cr 1.75
N39 0.8142 0.5095 0.3970  1 Cr 1.75
N40 0.8142 0.8047 0.4173  1 Cr 1.75
N41 0.8875 0.3970 0.0827  1 Cr 1.75
N42 0.8875 0.9905 0.8047  1 Cr 1.75
N43 0.8970 0.0095 0.3142  1 Cr 1.75
N44 0.8970 0.3875 0.5827  1 Cr 1.75
N45 0.9173 0.1125 0.6030  1 Cr 1.75
N46 0.9173 0.3047 0.3142  1 Cr 1.75
N47 0.9905 0.6858 0.1030  1 Cr 1.75
N48 0.9905 0.8047 0.8875  1 Cr 1.75

Calculated volume (Å³/cell): 939.3
Uncorrected formation energy (eV/atom): -0.64
Mass density (g/cm3): 6.36
Symmetry: Ia-3d (230)

***

[9]
GdNb2Cr: optimized geometry, PBE.

Unit cell a=4.6911 b=4.6911 c=11.4683 alpha=90.00 beta=90.00 gamma=120.00
With the nearest neighbours (Å) after each atom.
Sites, in units of the cell vectors:
Gd1 0.0000 0.0000 0.0000  8 Nb 2.87
Gd2 0.3333 0.6667 0.6667  8 Nb 2.87
Gd3 0.6667 0.3333 0.3333  8 Nb 2.87
Nb1 0.0000 0.0000 0.2502  4 Cr 2.86-2.87, 4 Gd 2.87
Nb2 0.0000 0.0000 0.7498  4 Cr 2.86-2.87, 4 Gd 2.87
Nb3 0.3333 0.6667 0.4165  4 Cr 2.86-2.87, 4 Gd 2.87
Nb4 0.3333 0.6667 0.9168  4 Cr 2.86-2.87, 4 Gd 2.87
Nb5 0.6667 0.3333 0.0832  4 Cr 2.86-2.87, 4 Gd 2.87
Nb6 0.6667 0.3333 0.5835  4 Cr 2.86-2.87, 4 Gd 2.87
Cr1 0.0000 0.0000 0.5000  8 Nb 2.86-2.87
Cr2 0.3333 0.6667 0.1667  8 Nb 2.86-2.87
Cr3 0.6667 0.3333 0.8333  8 Nb 2.86-2.87

Calculated volume (Å³/cell): 218.6
Mass density (g/cm3): 9.00
Symmetry: R-3m (166)
Energy of formation (meV/atom): 477